Computed, not measured: a relaxed VBiNF2 crystal at the PBE+U level of DFT.

Properties
Total moment in Bohr magnetons per cell: 3.36
E in eV per atom: -4.96
D(E_F) in states/eV per atom: 0.4335
V in Å³ per atom: 18.61
Density in g cm⁻³: 5.6

Cell: 4.505 4.505 4.587 Å, 90.00 90.00 90.00°
Fractional coordinates of all 5 atoms:
V  0.000  0.000  0.000
Bi  0.500  0.500  0.500
N  0.500  0.500  0.000
F  0.000  0.500  0.500
F  0.500  0.000  0.500